# Na2TaTlF (PBE, optimized geometry)
data_Na2TaTlF
_symmetry_space_group_name_H-M 'P 1'
_symmetry_Int_Tables_number 1
_cell_length_a 6.111
_cell_length_b 5.663
_cell_length_c 6.111
_cell_angle_alpha 90.00
_cell_angle_beta 90.00
_cell_angle_gamma 90.00
loop_
_symmetry_equiv_pos_as_xyz
'x,y,z'
loop_
_atom_site_label
_atom_site_fract_x
_atom_site_fract_y
_atom_site_fract_z
Na1 0.000 0.000 0.500
Na2 0.500 0.000 0.000
Tl1 0.000 0.500 0.000
F1 0.500 0.500 0.500
Ta1 0.000 0.000 0.000
# Energy above the lowest structure with this stoichiometry   5.34 eV/f.u.
# Raw formation energy   0.783 eV/atom
# Raw total energy   -14.82 eV for the cell shown
# DOS at the Fermi energy   1.43 states/eV per cell